# 1
A plane-wave DFT calculation with PBE was carried out for PmNd2Sm4Ho after structural relaxation.

a b c (Å): 9.602 9.602 11.939
angles (deg): 128.33 128.33 88.37
Fractional positions:
Sm 0.756 0.245 0.001
Sm 0.275 0.276 0.029
Sm 0.776 0.775 0.529
Sm 0.244 0.755 0.999
Sm 0.745 0.256 0.501
Sm 0.224 0.225 0.471
Sm 0.725 0.724 0.971
Sm 0.255 0.744 0.499
Pm 0.000 0.500 0.000
Pm 0.000 0.500 0.500
Nd 0.000 0.000 0.500
Nd 0.500 0.500 0.000
Nd 0.500 0.000 0.500
Nd 0.500 0.000 0.000
Ho 0.500 0.500 0.500
Ho 0.000 0.000 0.000

Computed properties:
Its symmetry is No. 15. Its total energy is -4.328 eV per atom. As for the size of the total moment: 0.000 μB per formula unit. The calculation puts the volume at 34.522 Å³/atom.

---

# 2
A plane-wave DFT calculation with PBE was carried out for PmNd4Sm2Ho after structural relaxation.

a b c (Å): 5.167 5.153 11.505
angles (deg): 63.31 90.00 90.00
Fractional positions:
Nd 0.500 0.252 0.748
Nd 0.500 0.748 0.252
Nd 0.000 0.752 0.748
Nd 0.000 0.248 0.252
Sm 0.500 0.000 0.500
Sm 0.000 0.000 0.000
Ho 0.000 0.500 0.500
Pm 0.500 0.500 0.000

Computed properties:
Its symmetry is No. 10. Its total energy is -4.717 eV per atom. As for the size of the total moment: 0.000 μB per formula unit. The calculation puts the volume at 34.206 Å³/atom.

---

# 3
A plane-wave DFT calculation with PBE was carried out for Pm6Nd2SmHo3 after structural relaxation.

a b c (Å): 6.282 6.282 11.977
angles (deg): 95.01 95.01 120.00
Fractional positions:
Nd 0.333 0.667 0.000
Nd 0.667 0.333 0.000
Ho 0.500 0.500 0.500
Ho 0.167 0.833 0.500
Ho 0.833 0.167 0.500
Pm 0.582 0.915 0.746
Pm 0.915 0.582 0.746
Pm 0.248 0.248 0.746
Pm 0.085 0.418 0.254
Pm 0.418 0.085 0.254
Pm 0.752 0.752 0.254
Sm 0.000 0.000 0.000

Computed properties:
Its symmetry is No. 12. Its total energy is -4.692 eV per atom. As for the size of the total moment: 0.000 μB per formula unit. The calculation puts the volume at 33.583 Å³/atom.

---

# 4
A plane-wave DFT calculation with PBE was carried out for Pm2NdSm2Ho after structural relaxation.

a b c (Å): 3.421 6.758 17.880
angles (deg): 90.00 90.00 90.00
Fractional positions:
Nd 0.000 0.000 0.500
Nd 0.500 0.500 0.000
Sm 0.500 0.260 0.321
Sm 0.000 0.240 0.821
Sm 0.500 0.740 0.679
Sm 0.000 0.760 0.179
Pm 0.000 0.736 0.850
Pm 0.000 0.264 0.150
Pm 0.500 0.764 0.350
Pm 0.500 0.236 0.650
Ho 0.500 0.500 0.500
Ho 0.000 0.000 0.000

Computed properties:
Its symmetry is No. 58. Its total energy is -4.462 eV per atom. As for the size of the total moment: 0.000 μB per formula unit. The calculation puts the volume at 34.448 Å³/atom.

---

# 5
A plane-wave DFT calculation with PBE was carried out for Pm4Nd2SmHo2 after structural relaxation.

a b c (Å): 5.135 8.118 8.092
angles (deg): 107.59 90.00 108.44
Fractional positions:
Pm 0.555 0.111 0.331
Pm 0.445 0.889 0.669
Pm 0.222 0.444 0.331
Pm 0.778 0.556 0.669
Ho 0.667 0.335 0.000
Ho 0.333 0.665 0.000
Nd 0.112 0.223 0.668
Nd 0.888 0.777 0.332
Sm 0.000 0.000 0.000

Computed properties:
Its symmetry is No. 12. Its total energy is -4.695 eV per atom. As for the size of the total moment: 0.000 μB per formula unit. The calculation puts the volume at 33.702 Å³/atom.

---

# 6
A plane-wave DFT calculation with PBE was carried out for PmNdSm4Ho2 after structural relaxation.

a b c (Å): 3.615 6.240 11.999
angles (deg): 79.91 90.00 90.00
Fractional positions:
Sm 0.500 0.751 0.250
Sm 0.000 0.751 0.749
Sm 0.500 0.249 0.750
Sm 0.000 0.249 0.251
Ho 0.000 0.000 0.000
Ho 0.500 0.000 0.500
Pm 0.000 0.500 0.500
Nd 0.500 0.500 0.000

Computed properties:
Its symmetry is No. 10. Its total energy is -4.677 eV per atom. As for the size of the total moment: 0.000 μB per formula unit. The calculation puts the volume at 33.309 Å³/atom.

---

# 7
A plane-wave DFT calculation with PBE was carried out for PmNdSm3Ho after structural relaxation.

a b c (Å): 5.791 10.558 6.931
angles (deg): 90.19 90.00 105.92
Fractional positions:
Sm 0.781 0.562 0.753
Sm 0.836 0.672 0.261
Sm 0.219 0.438 0.247
Sm 0.164 0.328 0.739
Sm 0.519 0.037 0.746
Sm 0.481 0.963 0.254
Ho 0.648 0.296 0.469
Ho 0.352 0.704 0.531
Pm 0.354 0.708 0.977
Pm 0.646 0.292 0.023
Nd 0.056 0.112 0.258
Nd 0.944 0.888 0.742

Computed properties:
Its symmetry is No. 12. Its total energy is -4.537 eV per atom. As for the size of the total moment: 0.000 μB per formula unit. The calculation puts the volume at 33.961 Å³/atom.

---

# 8
A plane-wave DFT calculation with PBE was carried out for PmNd2Sm4Ho2 after structural relaxation.

a b c (Å): 6.906 10.018 6.717
angles (deg): 121.28 126.91 59.41
Fractional positions:
Sm 0.625 0.757 0.511
Sm 0.735 0.883 0.201
Sm 0.265 0.117 0.799
Sm 0.375 0.243 0.489
Ho 0.180 0.556 0.966
Ho 0.820 0.444 0.034
Pm 0.000 0.000 0.000
Nd 0.270 0.656 0.599
Nd 0.730 0.344 0.401

Computed properties:
Its symmetry is No. 2. Its total energy is -4.631 eV per atom. As for the size of the total moment: 0.000 μB per formula unit. The calculation puts the volume at 33.788 Å³/atom.

---

# 9
A plane-wave DFT calculation with PBE was carried out for Pm2Nd2Sm4Ho after structural relaxation.

a b c (Å): 3.663 9.680 9.754
angles (deg): 115.13 90.00 100.91
Fractional positions:
Nd 0.665 0.331 0.999
Nd 0.335 0.669 0.001
Ho 0.000 0.000 0.000
Sm 0.482 0.963 0.670
Sm 0.185 0.370 0.333
Sm 0.815 0.630 0.667
Sm 0.518 0.037 0.330
Pm 0.148 0.295 0.666
Pm 0.852 0.705 0.334

Computed properties:
Its symmetry is No. 12. Its total energy is -4.712 eV per atom. As for the size of the total moment: 0.000 μB per formula unit. The calculation puts the volume at 34.025 Å³/atom.

---

# 10
A plane-wave DFT calculation with PBE was carried out for Pm2Nd6Sm3Ho after structural relaxation.

a b c (Å): 6.329 6.329 12.079
angles (deg): 95.02 95.02 120.00
Fractional positions:
Nd 0.751 0.751 0.250
Nd 0.917 0.584 0.751
Nd 0.416 0.083 0.249
Nd 0.249 0.249 0.750
Nd 0.083 0.416 0.249
Nd 0.584 0.917 0.751
Ho 0.000 0.000 0.000
Pm 0.333 0.667 0.000
Pm 0.667 0.333 0.000
Sm 0.167 0.833 0.500
Sm 0.833 0.167 0.500
Sm 0.500 0.500 0.500

Computed properties:
Its symmetry is No. 12. Its total energy is -4.724 eV per atom. As for the size of the total moment: 0.000 μB per formula unit. The calculation puts the volume at 34.384 Å³/atom.

---

# 11
A plane-wave DFT calculation with PBE was carried out for Pm6Nd3Sm2Ho after structural relaxation.

a b c (Å): 6.314 6.314 12.088
angles (deg): 95.01 95.01 119.99
Fractional positions:
Ho 0.000 0.000 0.000
Pm 0.250 0.250 0.752
Pm 0.415 0.083 0.248
Pm 0.083 0.415 0.248
Pm 0.750 0.750 0.248
Pm 0.917 0.585 0.752
Pm 0.585 0.917 0.752
Sm 0.333 0.667 0.000
Sm 0.667 0.333 0.000
Nd 0.833 0.167 0.500
Nd 0.500 0.500 0.500
Nd 0.167 0.833 0.500

Computed properties:
Its symmetry is No. 12. Its total energy is -4.721 eV per atom. As for the size of the total moment: 0.000 μB per formula unit. The calculation puts the volume at 34.244 Å³/atom.

---

# 12
A plane-wave DFT calculation with PBE was carried out for PmNd2Sm3Ho6 after structural relaxation.

a b c (Å): 6.225 6.225 11.797
angles (deg): 95.03 95.03 119.99
Fractional positions:
Sm 0.833 0.167 0.500
Sm 0.167 0.833 0.500
Sm 0.500 0.500 0.500
Pm 0.000 0.000 0.000
Nd 0.667 0.333 0.000
Nd 0.333 0.667 0.000
Ho 0.751 0.751 0.251
Ho 0.249 0.249 0.749
Ho 0.583 0.916 0.749
Ho 0.084 0.417 0.251
Ho 0.417 0.084 0.251
Ho 0.916 0.583 0.749

Computed properties:
Its symmetry is No. 12. Its total energy is -4.646 eV per atom. As for the size of the total moment: 0.000 μB per formula unit. The calculation puts the volume at 32.487 Å³/atom.

---

- What is the size of the total moment in the twelfth record?
  0.000 μB per formula unit

---

- Which value of size of the total moment does entry 8 give?
  0.000 μB per formula unit